# 1
Density functional theory data (PBE) for YCoHgB after structural relaxation.

```
YCoHgB
1.0
3.476 -2.625 -1.363
-0.695 -4.420 -0.898
0.170 -1.508 -4.304
B Y Co Hg
1 1 1 1
Cartesian
0.000 0.000 0.000
0.738 -2.138 -1.641
2.213 -6.415 -4.924
1.475 -4.277 -3.282
```

Excess energy over the best structure of this formula in the dataset, eV/f.u.: 0.00
Crystal system: cubic

---

# 2
Density functional theory data (PBE) for Dy2HoIn3AgPd2 after structural relaxation.

```
Dy2HoIn3AgPd2
1.0
-2.200 -2.878 -1.076
-3.319 -0.117 7.099
-3.054 4.456 -5.677
Dy Pd In Ho Ag
2 2 3 1 1
Cartesian
-1.962 -0.069 4.196
-1.806 2.634 -3.356
-4.329 -0.030 2.293
-4.241 1.488 -1.948
-1.923 -0.240 -2.062
-1.994 -1.469 1.369
-5.758 1.732 0.501
-2.606 1.774 0.581
-0.002 0.001 0.000
```

VASP energy, eV per formula unit: -41.405
Crystal system: orthorhombic

---

# 3
Density functional theory data (PBE) for Y2BeFe after structural relaxation.

```
Y2BeFe
1.0
0.000 3.331 3.331
3.331 0.000 3.331
3.331 3.331 0.000
Y Be Fe
2 1 1
Cartesian
0.000 0.000 0.000
4.997 4.997 4.997
3.331 3.331 3.331
1.666 1.666 1.666
```

VASP energy, eV per formula unit: -23.238
Crystal system: cubic

---

# 4
Density functional theory data (PBE) for RbTcAgTe2Se after structural relaxation.

```
RbTcAgTe2Se
1.0
-4.485 7.052 1.159
1.646 -7.241 -4.005
-6.333 -5.122 6.659
Ag Se Tc Rb Te
2 2 2 2 4
Cartesian
-3.367 -10.469 1.211
-5.805 5.158 2.602
-3.371 -0.516 0.552
-5.800 -4.796 3.261
-4.586 -2.656 1.906
-1.420 -0.095 -1.423
-7.664 -0.450 4.831
-1.507 -4.862 -1.018
-6.806 2.913 3.750
-2.366 -8.224 0.062
-5.282 -10.583 3.129
-3.890 5.272 0.684
```

VASP energy, eV per formula unit: -25.122
Crystal system: orthorhombic